1.
Computed, not measured: a geometry-optimized YHfRe structure at the PBE-GGA level of DFT.

* calculated density: 10.57 g/cm3
* DFT total energy: -28.13 eV/cell
* space-group type: F-43m
* ΔH_f (0 K): 0.2388 eV per atom

abc: 4.654 4.654 4.654
angles: 60.00 60.00 60.00
Fractional coordinates of all 3 atoms:
1 Y 0.000 0.000 0.000
2 Hf 0.500 0.500 0.500
3 Re 0.750 0.750 0.750

2.
Computed, not measured: a geometry-optimized PuGa structure at the PBE-GGA level of DFT.

* calculated density: 7.12 g/cm3
* DFT total energy: -15.67 eV/cell
* space-group type: R3m

abc: 4.698 4.698 4.698
angles: 59.91 59.91 59.91
Fractional coordinates of all 2 atoms:
1 Pu 0.000 0.000 0.000
2 Ga 0.250 0.250 0.250

3.
Computed, not measured: a geometry-optimized HoAlGa structure at the PBE-GGA level of DFT.

* calculated density: 6.57 g/cm3
* DFT total energy: -12.36 eV/cell
* space-group type: F-43m

abc: 4.538 4.538 4.538
angles: 60.00 60.00 60.00
Fractional coordinates of all 3 atoms:
1 Ho 0.000 0.000 0.000
2 Al 0.500 0.500 0.500
3 Ga 0.750 0.750 0.750

4.
Computed, not measured: a geometry-optimized Zr2ScAl3NiAg2 structure at the PBE-GGA level of DFT.

* calculated density: 5.96 g/cm3
* DFT total energy: -49.62 eV/cell
* space-group type: Amm2

abc: 4.044 6.768 6.768
angles: 118.72 90.00 90.00
Fractional coordinates of all 9 atoms:
1 Zr 0.000 0.197 0.803
2 Zr 0.000 0.803 0.197
3 Sc 0.000 0.587 0.587
4 Al 0.500 0.193 0.432
5 Al 0.500 0.432 0.193
6 Al 0.500 0.969 0.969
7 Ni 0.000 0.200 0.200
8 Ag 0.500 0.533 0.858
9 Ag 0.500 0.858 0.533

What did the third record say?
Computed, not measured: a geometry-optimized HoAlGa structure at the PBE-GGA level of DFT.

* calculated density: 6.57 g/cm3
* DFT total energy: -12.36 eV/cell
* space-group type: F-43m

abc: 4.538 4.538 4.538
angles: 60.00 60.00 60.00
Fractional coordinates of all 3 atoms:
1 Ho 0.000 0.000 0.000
2 Al 0.500 0.500 0.500
3 Ga 0.750 0.750 0.750